# YMo2Ir, optimized geometry, DFT GGA-PBE
data_YMo2Ir
_cell_length_a 3.2571
_cell_length_b 3.2571
_cell_length_c 6.8255
_cell_angle_alpha 90.00
_cell_angle_beta 90.00
_cell_angle_gamma 90.00
_symmetry_space_group_name_H-M 'P 1'
_symmetry_Int_Tables_number 1
loop_
_symmetry_equiv_pos_as_xyz
'x,y,z'
loop_
_atom_site_label
_atom_site_type_symbol
_atom_site_fract_x
_atom_site_fract_y
_atom_site_fract_z
_atom_site_occupancy
Y1 Y 0.0000 0.0000 0.0000 1
Mo1 Mo 0.0000 0.0000 0.5044 1
Mo2 Mo 0.5000 0.5000 0.7031 1
Ir1 Ir 0.5000 0.5000 0.2678 1
# Excess energy over the best structure of this formula in the dataset in meV/atom: 0
# Calculated volume in Å³ per atom: 18.102
# Total energy in eV per atom: -9.257
# Formation energy from the elements in eV per formula unit: -0.039